# 1
A relaxed ZnMoPd2Ru crystal, computed with PBE.

Cell lengths 4.8324, 4.5766, 4.8324 Å; angles 90.00, 90.00, 90.00 degrees
Last column: nearest neighbours and their distance in Å.
Sites, in units of the cell vectors:
Ru 0.0000 0.5000 0.0000  2 Mo 2.29
Mo 0.0000 0.0000 0.0000  2 Ru 2.29, 4 Pd 2.42
Zn 0.5000 0.5000 0.5000  8 Pd 3.33, 4 Ru 3.42
Pd 0.0000 0.0000 0.5000  2 Mo 2.42
Pd 0.5000 0.0000 0.0000  2 Mo 2.42

spin magnetization: 0.00 μB/f.u.


# 2
A relaxed Ac4GaPBr2 crystal, computed with PBE.

Cell lengths 4.5827, 7.7991, 8.0725 Å; angles 109.60, 90.00, 90.00 degrees
Last column: nearest neighbours and their distance in Å.
Sites, in units of the cell vectors:
Ac 0.5000 0.2340 0.2131  2 P 3.07, 1 Ga 3.11, 3 Br 3.40-3.42
Ac 0.5000 0.7660 0.7869  2 P 3.07, 1 Ga 3.11, 3 Br 3.40-3.42
Ac 0.0000 0.2572 0.7830  1 P 3.07, 2 Ga 3.11, 3 Br 3.38-3.42
Ac 0.0000 0.7428 0.2170  1 P 3.07, 2 Ga 3.11, 3 Br 3.38-3.42
Ga 0.5000 0.5000 0.0000  6 Ac 3.11
P 0.0000 0.0000 0.0000  6 Ac 3.07
Br 0.5000 0.0000 0.5000  6 Ac 3.38-3.40
Br 0.0000 0.5000 0.5000  6 Ac 3.42

E_form (uncorrected): -1.170 eV per atom
spin magnetization: 0.00 μB/f.u.


Raw total energy (eV/atom)
-5.16 -4.70